Entry 1:
MnTcNi2: optimized geometry, GGA-PBE.

Cell lengths 2.5528, 3.6497, 5.1424 Å; angles 90.00, 90.00, 90.00 degrees
With the nearest neighbours (Å) after each atom.
Space group Pmm2 (No. 25)
One atom of each set of equivalent atoms:
Mn1 0.0000 0.0000 0.0000  6 Ni 2.48-2.66, 2 Mn 2.55, 4 Tc 2.60
Tc1 0.5000 0.5000 0.7406  6 Ni 2.54-2.60, 2 Tc 2.55, 4 Mn 2.60
Ni1 0.0000 0.0000 0.4820  2 Mn 2.48-2.66, 6 Ni 2.54-2.55, 4 Tc 2.59
Ni2 0.5000 0.5000 0.2460  6 Ni 2.54-2.55, 2 Tc 2.54-2.60, 4 Mn 2.56

Output
ρ in kg/m³: 9369
Density of states at the Fermi level in states/eV/cell: 4.2
Electronic total energy in eV/f.u.: -30.98

---

Entry 2:
Mn2TcNi: optimized geometry, GGA-PBE.

Cell lengths 6.4879, 6.4879, 5.1409 Å; angles 90.00, 90.00, 90.00 degrees
With the nearest neighbours (Å) after each atom.
Space group I-42d (No. 122)
One atom of each set of equivalent atoms:
Mn1 0.2462 0.2500 0.1250  2 Ni 2.37, 2 Tc 2.40, 2 Mn 2.57
Tc1 0.0000 0.0000 0.5000  4 Mn 2.40, 2 Ni 2.57
Ni1 0.0000 0.0000 0.0000  4 Mn 2.37, 2 Tc 2.57

Output
ρ in kg/m³: 8182
Density of states at the Fermi level in states/eV/cell: 23.5
Electronic total energy in eV/f.u.: -32.22

---

Entry 3:
MnTcNi2: optimized geometry, GGA-PBE.

Cell lengths 5.7946, 5.7946, 5.7946 Å; angles 90.00, 90.00, 90.00 degrees
With the nearest neighbours (Å) after each atom.
Space group F-43m (No. 216)
One atom of each set of equivalent atoms:
Mn1 0.0000 0.0000 0.0000  4 Tc 2.51, 4 Ni 2.51
Tc1 0.2500 0.2500 0.2500  4 Mn 2.51, 4 Ni 2.51
Ni1 0.0000 0.0000 0.5000  4 Tc 2.51, 4 Ni 2.51
Ni2 0.2500 0.2500 0.7500  4 Mn 2.51, 4 Ni 2.51

Output
ρ in kg/m³: 9228
Density of states at the Fermi level in states/eV/cell: 22.8
Electronic total energy in eV/f.u.: -30.66

---

Entry 4:
MnTcNi2: optimized geometry, GGA-PBE.

Cell lengths 5.7596, 5.7596, 5.7596 Å; angles 90.00, 90.00, 90.00 degrees
With the nearest neighbours (Å) after each atom.
Space group Fm-3m (No. 225)
One atom of each set of equivalent atoms:
Mn1 0.0000 0.0000 0.0000  8 Ni 2.49
Tc1 0.0000 0.0000 0.5000  8 Ni 2.49
Ni1 0.2500 0.2500 0.2500  4 Mn 2.49, 4 Tc 2.49

Output
ρ in kg/m³: 9398
Density of states at the Fermi level in states/eV/cell: 33.9
Electronic total energy in eV/f.u.: -29.73

---

Entry 5:
MnTcNi2: optimized geometry, GGA-PBE.

Cell lengths 3.5748, 3.5748, 7.5275 Å; angles 90.00, 90.00, 90.00 degrees
With the nearest neighbours (Å) after each atom.
Space group I4/mmm (No. 139)
One atom of each set of equivalent atoms:
Mn1 0.0000 0.0000 0.0000  4 Tc 2.53, 8 Ni 2.60
Tc1 0.0000 0.0000 0.5000  4 Mn 2.53, 8 Ni 2.60
Ni1 0.0000 0.5000 0.2500  4 Ni 2.53, 4 Mn 2.60, 4 Tc 2.60

Output
ρ in kg/m³: 9333
Density of states at the Fermi level in states/eV/cell: 7.8
Electronic total energy in eV/f.u.: -31.12

---

Entry 6:
MnTcNi2: optimized geometry, GGA-PBE.

Cell lengths 3.0006, 3.0006, 5.3850 Å; angles 90.00, 90.00, 90.00 degrees
With the nearest neighbours (Å) after each atom.
Space group P4mm (No. 99)
One atom of each set of equivalent atoms:
Mn1 0.0000 0.0000 0.0000  5 Ni 2.48-2.52, 4 Tc 2.56
Tc1 0.5000 0.5000 0.7356  4 Mn 2.56, 6 Ni 2.56-2.70
Ni1 0.0000 0.0000 0.4680  4 Ni 2.46, 1 Mn 2.52, 4 Tc 2.56
Ni2 0.5000 0.5000 0.2373  4 Ni 2.46, 4 Mn 2.48, 2 Tc 2.68-2.70

Output
ρ in kg/m³: 9259
Density of states at the Fermi level in states/eV/cell: 6.1
Electronic total energy in eV/f.u.: -30.80

---

Entry 7:
MnZnTcNi: optimized geometry, GGA-PBE.

Cell lengths 5.9022, 5.9022, 5.9022 Å; angles 90.00, 90.00, 90.00 degrees
With the nearest neighbours (Å) after each atom.
Space group F-43m (No. 216)
One atom of each set of equivalent atoms:
Mn1 0.0000 0.0000 0.0000  4 Tc 2.56, 4 Ni 2.56
Zn1 0.0000 0.0000 0.5000  4 Tc 2.56, 4 Ni 2.56
Tc1 0.2500 0.2500 0.2500  4 Mn 2.56, 4 Zn 2.56
Ni1 0.2500 0.2500 0.7500  4 Mn 2.56, 4 Zn 2.56

Output
ρ in kg/m³: 8950
Density of states at the Fermi level in states/eV/cell: 3.2
Electronic total energy in eV/f.u.: -26.59

---

Entry 8:
Mn2NiTe: optimized geometry, GGA-PBE.

Cell lengths 4.0001, 4.0001, 13.6106 Å; angles 90.00, 90.00, 120.00 degrees
With the nearest neighbours (Å) after each atom.
Space group R3m (No. 160, hexagonal axes)
One atom of each set of equivalent atoms:
Mn1 0.0000 0.0000 0.0000  3 Mn 2.39, 3 Ni 2.56, 1 Te 2.60
Mn2 0.0000 0.0000 0.3771  3 Mn 2.39
Ni1 0.0000 0.0000 0.5856  4 Mn 2.56-2.84, 3 Te 2.75
Te1 0.0000 0.0000 0.8091  4 Mn 2.60-2.67, 3 Ni 2.75

Output
ρ in kg/m³: 7823
Density of states at the Fermi level in states/eV/cell: 14.6
Electronic total energy in eV/f.u.: -26.40
Energy relative to the elements, uncorrected in eV/atom: 0.217

---

Entry 9:
Mn2NiTe: optimized geometry, GGA-PBE.

Cell lengths 3.9484, 3.9484, 14.9019 Å; angles 90.00, 90.00, 120.00 degrees
With the nearest neighbours (Å) after each atom.
Space group R-3m (No. 166, hexagonal axes)
One atom of each set of equivalent atoms:
Mn1 0.0000 0.0000 0.2264  3 Ni 2.45
Ni1 0.0000 0.0000 0.5000  6 Mn 2.45
Te1 0.0000 0.0000 0.0000  6 Mn 2.78

Output
ρ in kg/m³: 7333
Density of states at the Fermi level in states/eV/cell: 11.3
Electronic total energy in eV/f.u.: -26.17
Energy relative to the elements, uncorrected in eV/atom: 0.274

---

Entry 10:
Mn2NiTe: optimized geometry, GGA-PBE.

Cell lengths 3.2075, 3.2075, 5.5894 Å; angles 90.00, 90.00, 90.00 degrees
With the nearest neighbours (Å) after each atom.
Space group P4mm (No. 99)
One atom of each set of equivalent atoms:
Mn1 0.0000 0.0000 0.0000  1 Ni 2.63, 4 Te 2.64, 4 Mn 2.68
Mn2 0.5000 0.5000 0.2570  4 Ni 2.56, 4 Mn 2.68, 2 Te 2.79-2.80
Ni1 0.0000 0.0000 0.4703  5 Mn 2.56-2.63, 4 Te 2.78
Te1 0.5000 0.5000 0.7578  6 Mn 2.64-2.80, 4 Ni 2.78

Output
ρ in kg/m³: 8553
Density of states at the Fermi level in states/eV/cell: 2.8
Electronic total energy in eV/f.u.: -26.24
Energy relative to the elements, uncorrected in eV/atom: 0.256

---

Entry 11:
MnNiTe6: optimized geometry, GGA-PBE.

Cell lengths 6.5726, 6.5726, 15.8669 Å; angles 90.00, 90.00, 120.00 degrees
With the nearest neighbours (Å) after each atom.
Space group R-3 (No. 148, hexagonal axes)
One atom of each set of equivalent atoms:
Mn1 0.0000 0.0000 0.0000  6 Te 2.62
Ni1 0.0000 0.0000 0.5000  6 Te 2.62
Te1 0.0018 0.3148 0.2509  1 Ni 2.62, 1 Mn 2.62

Output
ρ in kg/m³: 7378
Density of states at the Fermi level in states/eV/cell: 13.7
Electronic total energy in eV/f.u.: -34.41
Energy relative to the elements, uncorrected in eV/atom: -0.076

---

Entry 12:
Mn2NiTe: optimized geometry, GGA-PBE.

Cell lengths 3.3612, 3.5845, 5.6502 Å; angles 90.00, 104.59, 90.00 degrees
With the nearest neighbours (Å) after each atom.
Space group Pm (No. 6)
One atom of each set of equivalent atoms:
Mn1 0.0000 0.0000 0.0000  4 Ni 2.61-2.62, 1 Te 2.78, 4 Mn 2.89-2.91
Mn2 0.3755 0.5000 0.7180  1 Ni 2.43
Ni1 0.5668 0.5000 0.1623  5 Mn 2.43-2.62, 2 Te 2.55
Te1 0.7720 0.0000 0.4925  2 Ni 2.55, 5 Mn 2.73-2.78

Output
ρ in kg/m³: 7465
Density of states at the Fermi level in states/eV/cell: 3.2
Electronic total energy in eV/f.u.: -26.36
Energy relative to the elements, uncorrected in eV/atom: 0.227